LaAl2IrC: optimized geometry, GGA-PBEsol.

Results
ΔE_f	0.281	eV per atom
magnetic moment	0.000	μB/f.u.

abc: 4.956 4.956 3.882
angles: 90.00 90.00 90.00
Space group P4/mmm (No. 123)
Inequivalent atoms, fractional coordinates:
La 0.000 0.000 0.000
Al 0.000 0.500 0.500
Ir 0.500 0.500 0.500
C 0.500 0.500 0.000